This record from Alexandria via LeMat-Bulk describes a geometry-optimized SrCu2Tc structure. The functional is PBE.

Properties
E	-4.611	eV per atom
Fermi-level density of states	0.764	states/eV/atom
crystal system	tetragonal

a = 3.289 Å, b = 3.289 Å, c = 6.805 Å
α = 90.00°, β = 90.00°, γ = 90.00°
Space group P4/mmm (No. 123)
One atom of each set of equivalent atoms:
Sr 0.000 0.000 0.000 x1
Cu 0.500 0.500 0.320 x2
Tc 0.000 0.000 0.500 x1

=====

This record from Alexandria via LeMat-Bulk describes a geometry-optimized IrF6 structure. The functional is PBE.

Properties
formation energy (no corrections)	-984.6	kJ/mol of formula units
crystal system	orthorhombic

a = 9.806 Å, b = 8.904 Å, c = 5.173 Å
α = 90.00°, β = 90.00°, γ = 90.00°
Space group Pnma (No. 62)
One atom of each set of equivalent atoms:
Ir 0.129 0.250 0.090 x4
F 0.014 0.250 0.799 x4
F 0.020 0.101 0.243 x8
F 0.237 0.101 0.937 x8
F 0.243 0.250 0.382 x4

=====

This record from Alexandria via LeMat-Bulk describes a geometry-optimized Rb2CeCuS4 structure. The functional is PBE.

Properties
formation energy (no corrections)	-791.5	kJ/mol of formula units
Fermi-level density of states	0.591	states/eV/atom
crystal system	tetragonal

a = 7.475 Å, b = 7.475 Å, c = 8.547 Å
α = 90.00°, β = 90.00°, γ = 90.00°
Space group I-4 (No. 82)
One atom of each set of equivalent atoms:
Rb 0.000 0.000 0.000 x2
Rb 0.000 0.500 0.250 x2
Ce 0.000 0.000 0.500 x2
Cu 0.000 0.500 0.750 x2
S 0.156 0.744 0.657 x8

=====

This record from Alexandria via LeMat-Bulk describes a geometry-optimized Ca2NiRu structure. The functional is PBE.

Properties
E	-4.476	eV per atom
Fermi-level density of states	0.956	states/eV/atom
crystal system	orthorhombic

a = 3.240 Å, b = 3.589 Å, c = 6.931 Å
α = 90.00°, β = 90.00°, γ = 90.00°
Space group Pmmm (No. 47)
One atom of each set of equivalent atoms:
Ca 0.000 0.000 0.247 x2
Ni 0.500 0.500 0.000 x1
Ru 0.500 0.500 0.500 x1